An optimized crystal structure of RbFeBi2, computed with PBE.

The space group is Fm-3m (No. 225) and the conventional cell measures 7.755, 7.755 and 7.755 Å, with angles of 90.00, 90.00 and 90.00 degrees. The distinct sites, in fractional coordinates, are Rb at (0.000, 0.000, 0.000), Fe at (0.000, 0.000, 0.500) and Bi at (0.250, 0.250, 0.250).

As for the polymorph energy (0 for the lowest one): 307.8 meV per atom. The value obtained for the total energy is -59.44 eV per cell.